Version P
The following is a DFT calculation (PBE) of a relaxed structure of RbReTc.

CIF file:
```
data_RbReTc
_cell_length_a 6.7956
_cell_length_b 6.7956
_cell_length_c 6.7956
_cell_angle_alpha 90.00
_cell_angle_beta 90.00
_cell_angle_gamma 90.00
_symmetry_space_group_name_H-M 'F -4 3 m'
_symmetry_Int_Tables_number 216
_symmetry_space_group_name_Hall 'F -4 2 3'
loop_
_atom_site_label
_atom_site_type_symbol
_atom_site_fract_x
_atom_site_fract_y
_atom_site_fract_z
Rb1 Rb 0.0000 0.0000 0.0000
Re1 Re 0.2500 0.2500 0.7500
Tc1 Tc 0.2500 0.2500 0.2500
```

***

Version Q
The following is a DFT calculation (PBE) of a relaxed structure of RbReTc.

CIF file:
```
data_RbReTc
_cell_length_a 6.3845
_cell_length_b 6.3845
_cell_length_c 6.3845
_cell_angle_alpha 90.00
_cell_angle_beta 90.00
_cell_angle_gamma 90.00
_symmetry_space_group_name_H-M 'F -4 3 m'
_symmetry_Int_Tables_number 216
_symmetry_space_group_name_Hall 'F -4 2 3'
loop_
_atom_site_label
_atom_site_type_symbol
_atom_site_fract_x
_atom_site_fract_y
_atom_site_fract_z
Rb1 Rb 0.0000 0.0000 0.0000
Re1 Re 0.0000 0.0000 0.5000
Tc1 Tc 0.2500 0.2500 0.7500
```

***

Energy above the most stable structure, in meV/atom: version P 1511; version Q 0

***

Version P
The following is a DFT calculation (PBE) of a relaxed structure of RbTlRe.

CIF file:
```
data_RbTlRe
_cell_length_a 7.7121
_cell_length_b 7.7121
_cell_length_c 7.7121
_cell_angle_alpha 90.00
_cell_angle_beta 90.00
_cell_angle_gamma 90.00
_symmetry_space_group_name_H-M 'F -4 3 m'
_symmetry_Int_Tables_number 216
_symmetry_space_group_name_Hall 'F -4 2 3'
loop_
_atom_site_label
_atom_site_type_symbol
_atom_site_fract_x
_atom_site_fract_y
_atom_site_fract_z
Rb1 Rb 0.0000 0.0000 0.0000
Tl1 Tl 0.2500 0.2500 0.2500
Re1 Re 0.2500 0.2500 0.7500
```

***

Version Q
The following is a DFT calculation (PBE) of a relaxed structure of RbTlRe.

CIF file:
```
data_RbTlRe
_cell_length_a 7.3182
_cell_length_b 7.3182
_cell_length_c 7.3182
_cell_angle_alpha 90.00
_cell_angle_beta 90.00
_cell_angle_gamma 90.00
_symmetry_space_group_name_H-M 'F -4 3 m'
_symmetry_Int_Tables_number 216
_symmetry_space_group_name_Hall 'F -4 2 3'
loop_
_atom_site_label
_atom_site_type_symbol
_atom_site_fract_x
_atom_site_fract_y
_atom_site_fract_z
Rb1 Rb 0.0000 0.0000 0.0000
Tl1 Tl 0.0000 0.0000 0.5000
Re1 Re 0.2500 0.2500 0.2500
```

***

Energy above the most stable structure, in meV/atom: version P 457; version Q 0

***

Version P
The following is a DFT calculation (PBE) of a relaxed structure of RbTmSnS3.

CIF file:
```
data_RbTmSnS3
_cell_length_a 15.4028
_cell_length_b 4.0057
_cell_length_c 11.8223
_cell_angle_alpha 90.00
_cell_angle_beta 90.00
_cell_angle_gamma 90.00
_symmetry_space_group_name_H-M 'P n m a'
_symmetry_Int_Tables_number 62
loop_
_symmetry_equiv_pos_as_xyz
'x,y,z'
'-x,-y,-z'
'-x+1/2,-y,z+1/2'
'x+1/2,y,-z+1/2'
'x+1/2,-y+1/2,-z+1/2'
'-x+1/2,y+1/2,z+1/2'
'-x,y+1/2,-z'
'x,-y+1/2,z'
loop_
_atom_site_label
_atom_site_type_symbol
_atom_site_fract_x
_atom_site_fract_y
_atom_site_fract_z
Rb1 Rb 0.2339 0.2500 0.0980
Tm1 Tm 0.0039 0.7500 0.6404
Sn1 Sn 0.0431 0.2500 0.9036
S1 S 0.0799 0.7500 0.2386
S2 S 0.0954 0.2500 0.5429
S3 S 0.1274 0.7500 0.8116
```

***

Version Q
The following is a DFT calculation (PBE) of a relaxed structure of RbTmSnS3.

CIF file:
```
data_RbTmSnS3
_cell_length_a 3.9302
_cell_length_b 17.3062
_cell_length_c 11.2213
_cell_angle_alpha 90.00
_cell_angle_beta 90.00
_cell_angle_gamma 90.00
_symmetry_space_group_name_H-M 'C m c m'
_symmetry_Int_Tables_number 63
_symmetry_space_group_name_Hall '-C 2c 2'
loop_
_atom_site_label
_atom_site_type_symbol
_atom_site_fract_x
_atom_site_fract_y
_atom_site_fract_z
Rb1 Rb 0.0000 0.1832 0.2500
Tm1 Tm 0.0000 0.5000 0.0000
Sn1 Sn 0.0000 0.1144 0.7500
S1 S 0.0000 0.1048 0.5032
S2 S 0.0000 0.4880 0.2500
```

***

Energy above the most stable structure, in meV/atom: version P 0; version Q 102